A relaxed ZrTlSiSe2 crystal, computed with PBE.

a = 5.275 Å, b = 4.999 Å, c = 5.275 Å
α = 90.00°, β = 90.00°, γ = 90.00°
Positions (direct):
Tl 0.000 0.000 0.000
Si 0.000 0.500 0.000
Se 0.000 0.000 0.500
Se 0.500 0.000 0.000
Zr 0.500 0.500 0.500

As for the density of states at the Fermi level: 5.77 states/eV/f.u. The space group is P4/mmm. The total energy is -3.712 eV/atom.

---

A relaxed Tm4SiSe3 crystal, computed with PBE.

a = 6.981 Å, b = 7.018 Å, c = 8.113 Å
α = 90.00°, β = 90.00°, γ = 109.46°
Positions (direct):
Tm 0.501 0.236 0.883
Tm 0.512 0.760 0.639
Tm 0.499 0.764 0.117
Tm 0.488 0.240 0.361
Tm 0.012 0.760 0.361
Tm 0.001 0.236 0.117
Tm 0.988 0.240 0.639
Tm 0.999 0.764 0.883
Si 0.750 0.000 0.876
Si 0.250 0.000 0.124
Se 0.750 0.500 0.128
Se 0.750 0.500 0.620
Se 0.250 0.500 0.872
Se 0.250 0.500 0.380
Se 0.750 0.000 0.378
Se 0.250 0.000 0.622

As for the density of states at the Fermi level: 3.48 states/eV/f.u. The space group is P2/c. The total energy is -5.751 eV/atom.

---

A relaxed TmSiSe crystal, computed with PBE.

a = 3.976 Å, b = 3.976 Å, c = 11.830 Å
α = 80.32°, β = 80.32°, γ = 60.00°
Positions (direct):
Se 0.277 0.277 0.170
Se 0.723 0.723 0.830
Tm 0.568 0.568 0.295
Tm 0.432 0.432 0.705
Si 0.844 0.844 0.469
Si 0.156 0.156 0.531

As for the density of states at the Fermi level: 0.31 states/eV/f.u. The space group is R-3m. The total energy is -5.484 eV/atom.

---

A relaxed Tm3SiSe6 crystal, computed with PBE.

a = 6.736 Å, b = 8.814 Å, c = 8.814 Å
α = 102.34°, β = 90.00°, γ = 90.00°
Positions (direct):
Se 0.184 0.372 0.303
Se 0.168 0.041 0.959
Se 0.684 0.303 0.372
Se 0.204 0.100 0.563
Se 0.668 0.959 0.041
Se 0.184 0.697 0.628
Se 0.684 0.628 0.697
Se 0.204 0.437 0.900
Se 0.704 0.563 0.100
Se 0.161 0.784 0.216
Se 0.704 0.900 0.437
Se 0.661 0.216 0.784
Tm 0.982 0.720 0.914
Tm 0.388 0.404 0.596
Tm 0.482 0.280 0.086
Tm 0.482 0.914 0.720
Tm 0.888 0.596 0.404
Tm 0.982 0.086 0.280
Si 0.527 0.797 0.203
Si 0.027 0.203 0.797

As for the density of states at the Fermi level: 2.91 states/eV/f.u. The space group is Cmc2_1. The total energy is -5.342 eV/atom.

---

| no. | magnetization (Bohr magnetons per cell) |
| --- | --- |
| 1 | 0.0 |
| 2 | 0.0 |
| 3 | 0.0 |
| 4 | 0.0 |